Density functional theory data (GGA+U) for a relaxed structure of BaWNF2.

The structure in POSCAR format:
```
BaWNF2
1.0
4.368 0.000 0.000
0.000 4.368 0.000
0.000 0.000 4.364
Ba W N F
1 1 1 2
direct
0.000 0.000 0.000 Ba
0.500 0.500 0.500 W
0.500 0.500 0.000 N
0.000 0.500 0.500 F
0.500 0.000 0.500 F
```

Distance to the lowest polymorph of the same formula = 0.0 kJ per mole of atoms
Spin magnetization = 2.94 μB per cell
Density of states at the Fermi level = 0.177 states/eV per atom
E_tot = -28.97 eV per formula unit